Here is Tb3Y2In2 after structural relaxation from the Alexandria database. Energies are from PBE.

Results
- DOS at the Fermi energy: 1.070 states/eV per atom
- Energy relative to the elements: -267 meV per atom
- ρ: 7.09 Mg/m³
- Polymorph energy (0 for the lowest one): 0 meV per atom
- Total DFT energy (no corrections): -4.881 eV/atom

abc: 11.531 5.211 6.895
angles: 90.00 90.91 90.00
Atoms (fractional coordinates):
Tb: 0.000 0.000 0.000
Tb: 0.206 0.500 0.836
Tb: 0.294 0.000 0.164
Tb: 0.500 0.500 0.000
Tb: 0.706 0.000 0.836
Tb: 0.794 0.500 0.164
Y: 0.101 0.500 0.320
Y: 0.399 0.000 0.680
Y: 0.601 0.000 0.320
Y: 0.899 0.500 0.680
In: 0.120 0.000 0.584
In: 0.380 0.500 0.416
In: 0.620 0.500 0.584
In: 0.880 0.000 0.416



Here is Tb3Y4In4 after structural relaxation from the Alexandria database. Energies are from PBE.

Results
- DOS at the Fermi energy: 1.154 states/eV per atom
- Energy relative to the elements: -318 meV per atom
- ρ: 6.56 Mg/m³
- Total DFT energy (no corrections): -4.927 eV/atom

abc: 10.607 10.607 10.607
angles: 160.02 126.37 57.81
Atoms (fractional coordinates):
Tb: 0.000 0.000 0.000
Tb: 0.403 0.903 0.500
Tb: 0.597 0.097 0.500
Y: 0.027 0.335 0.692
Y: 0.357 0.665 0.692
Y: 0.643 0.335 0.308
Y: 0.973 0.665 0.308
In: 0.266 0.266 0.000
In: 0.280 0.500 0.780
In: 0.720 0.500 0.220
In: 0.734 0.734 0.000



Here is Tb6YIn after structural relaxation from the Alexandria database. Energies are from PBE.

Results
- DOS at the Fermi energy: 1.160 states/eV per atom
- Energy relative to the elements: -116 meV per atom
- ρ: 7.89 Mg/m³
- Total DFT energy (no corrections): -4.739 eV/atom

abc: 4.915 4.915 10.078
angles: 90.00 90.00 90.00
Atoms (fractional coordinates):
Tb: 0.000 0.000 0.000
Tb: 0.000 0.000 0.500
Tb: 0.000 0.500 0.243
Tb: 0.000 0.500 0.757
Tb: 0.500 0.000 0.243
Tb: 0.500 0.000 0.757
Y: 0.500 0.500 0.500
In: 0.500 0.500 0.000



Here is Tb2Y5In5 after structural relaxation from the Alexandria database. Energies are from PBE.

Results
- DOS at the Fermi energy: 1.018 states/eV per atom
- Energy relative to the elements: -330 meV per atom
- ρ: 6.46 Mg/m³
- Total DFT energy (no corrections): -4.936 eV/atom

abc: 6.514 6.514 12.039
angles: 108.42 108.42 45.76
Atoms (fractional coordinates):
Tb: 0.071 0.071 0.261
Tb: 0.929 0.929 0.739
Y: 0.348 0.348 0.496
Y: 0.363 0.363 0.220
Y: 0.500 0.500 0.000
Y: 0.637 0.637 0.780
Y: 0.652 0.652 0.504
In: 0.000 0.000 0.500
In: 0.165 0.165 0.964
In: 0.263 0.263 0.719
In: 0.737 0.737 0.281
In: 0.835 0.835 0.036



Here is Tb6YIn2 after structural relaxation from the Alexandria database. Energies are from PBE.

Results
- DOS at the Fermi energy: 1.316 states/eV per atom
- Energy relative to the elements: -201 meV per atom
- ρ: 8.08 Mg/m³
- Polymorph energy (0 for the lowest one): 0 meV per atom
- Total DFT energy (no corrections): -4.614 eV/atom

abc: 6.031 6.031 10.531
angles: 107.65 107.65 46.29
Atoms (fractional coordinates):
Tb: 0.006 0.006 0.173
Tb: 0.327 0.327 0.612
Tb: 0.328 0.328 0.945
Tb: 0.672 0.672 0.055
Tb: 0.673 0.673 0.388
Tb: 0.994 0.994 0.827
Y: 0.000 0.000 0.500
In: 0.340 0.340 0.283
In: 0.660 0.660 0.717



Here is Tb7Y2In2 after structural relaxation from the Alexandria database. Energies are from PBE.

Results
- DOS at the Fermi energy: 1.414 states/eV per atom
- Energy relative to the elements: -48 meV per atom
- ρ: 7.19 Mg/m³
- Total DFT energy (no corrections): -4.667 eV/atom

abc: 11.230 11.230 11.230
angles: 161.39 54.91 128.84
Atoms (fractional coordinates):
Tb: 0.000 0.000 0.000
Tb: 0.001 0.661 0.339
Tb: 0.322 0.661 0.661
Tb: 0.336 0.467 0.870
Tb: 0.597 0.467 0.130
Tb: 0.648 0.286 0.362
Tb: 0.924 0.286 0.638
Y: 0.321 0.821 0.500
Y: 0.656 0.656 0.000
In: 0.196 0.951 0.245
In: 0.706 0.951 0.755